No. 1
ErLuSn2: relaxed, PBE-GGA.

CIF file:
```
data_ErLuSn2
_chemical_formula_sum 'Er1 Lu1 Sn2'
_space_group_name_H-M_alt 'P 4/m m m'
_space_group_IT_number 123
_space_group_name_Hall '-P 4 2'
_cell_length_a 4.890
_cell_length_b 4.890
_cell_length_c 4.307
_cell_angle_alpha 90.00
_cell_angle_beta 90.00
_cell_angle_gamma 90.00
loop_
_atom_site_label
_atom_site_type_symbol
_atom_site_fract_x
_atom_site_fract_y
_atom_site_fract_z
Er1 Er 0.000 0.000 0.000
Lu1 Lu 0.500 0.500 0.000
Sn1 Sn 0.000 0.500 0.500
```

density	9.3	g/cm³
Fermi-level density of states	0.9731	states/eV per atom
formation enthalpy at 0 K	-0.56	eV per atom


No. 2
Ti2Nb6Re: relaxed, PBE-GGA.

CIF file:
```
data_Ti2Nb6Re
_chemical_formula_sum 'Ti4 Nb12 Re2'
_space_group_name_H-M_alt 'C 1 2/m 1'
_space_group_IT_number 12
_space_group_name_Hall '-C 2y'
_cell_length_a 7.124
_cell_length_b 14.139
_cell_length_c 3.208
_cell_angle_alpha 90.00
_cell_angle_beta 100.34
_cell_angle_gamma 90.00
loop_
_atom_site_label
_atom_site_type_symbol
_atom_site_fract_x
_atom_site_fract_y
_atom_site_fract_z
Ti1 Ti 0.000 0.152 0.000
Nb1 Nb 0.164 0.334 0.330
Nb2 Nb 0.174 0.500 0.831
Re1 Re 0.000 0.000 0.500
```

density	8.8	g/cm³
Fermi-level density of states	1.1520	states/eV per atom
ΔE to the lowest computed polymorph	15	meV/atom
formation enthalpy at 0 K	-0.02	eV per atom


No. 3
BeAl2SiHg: relaxed, PBE-GGA.

CIF file:
```
data_BeAl2SiHg
_chemical_formula_sum 'Be1 Al2 Si1 Hg1'
_space_group_name_H-M_alt 'P 4/m m m'
_space_group_IT_number 123
_space_group_name_Hall '-P 4 2'
_cell_length_a 4.976
_cell_length_b 4.976
_cell_length_c 4.128
_cell_angle_alpha 90.00
_cell_angle_beta 90.00
_cell_angle_gamma 90.00
loop_
_atom_site_label
_atom_site_type_symbol
_atom_site_fract_x
_atom_site_fract_y
_atom_site_fract_z
Be1 Be 0.000 0.000 0.000
Al1 Al 0.000 0.500 0.500
Si1 Si 0.000 0.000 0.500
Hg1 Hg 0.500 0.500 0.000
```

density	4.7	g/cm³
raw formation energy	538	meV/atom
Fermi-level density of states	0.4908	states/eV per atom


Calculated values (hartree per atom) of energy for the records, taken in order: -0.17748; -0.36266; -0.10471.